! PaAg2F8 (PBE, optimized geometry); values from VASP
! - Fermi-level density of states: 4.180 states/eV/cell
! - Distance to the lowest polymorph of the same formula: 10 meV per atom
! - Uncorrected formation energy: -2.509 eV/atom
! - Space group: C2/m, No. 12
! - Final energy: -5.251 eV/atom
&SYSTEM
  ibrav = 0, nat = 11, ntyp = 3
/
ATOMIC_SPECIES
Pa 231.04 Pa.upf
Ag 107.87 Ag.upf
F 19.00 F.upf
CELL_PARAMETERS angstrom
7.982 -1.995 0.000
7.982 1.995 0.000
-0.845 0.000 4.990
ATOMIC_POSITIONS angstrom
Pa 0.000 0.000 0.000
Ag 4.483 0.000 1.260
Ag 10.637 0.000 3.729
F 0.899 0.000 1.863
F 1.315 0.000 4.564
F 3.790 0.000 3.552
F 7.306 0.000 0.992
F 7.814 0.000 3.998
F 11.330 0.000 1.438
F 13.805 0.000 0.426
F 14.221 0.000 3.127

! SrLaRe2 (PBE, optimized geometry); values from VASP
! - Fermi-level density of states: 3.784 states/eV/cell
! - Distance to the lowest polymorph of the same formula: 388 meV per atom
! - Space group: C2/m, No. 12
! - Calculated formation energy: 59 kJ/mol of atoms
! - Final energy: -7.263 eV/atom
&SYSTEM
  ibrav = 0, nat = 4, ntyp = 3
/
ATOMIC_SPECIES
Sr 87.62 Sr.upf
La 138.91 La.upf
Re 186.21 Re.upf
CELL_PARAMETERS angstrom
5.446 -2.011 0.000
5.446 2.011 0.000
-3.717 0.000 5.752
ATOMIC_POSITIONS angstrom
Sr 0.000 0.000 0.000
La 3.588 0.000 2.876
Re 0.501 0.000 3.423
Re 6.675 0.000 2.329

! K3Cd3Ag (PBE, optimized geometry); values from VASP
! - Fermi-level density of states: 6.643 states/eV/cell
! - Space group: C2/m, No. 12
! - Calculated formation energy: -5 kJ/mol of atoms
! - Final energy: -1.326 eV/atom
&SYSTEM
  ibrav = 0, nat = 14, ntyp = 3
/
ATOMIC_SPECIES
K 39.10 K.upf
Cd 112.41 Cd.upf
Ag 107.87 Ag.upf
CELL_PARAMETERS angstrom
6.179 -2.594 0.000
6.179 2.594 0.000
-6.148 0.000 15.944
ATOMIC_POSITIONS angstrom
K -1.244 0.000 4.160
K -1.248 0.000 9.247
K -1.063 0.000 14.122
K 7.274 0.000 1.822
K 7.459 0.000 6.697
K 7.455 0.000 11.784
Cd -4.611 0.000 15.385
Cd 2.473 0.000 4.085
Cd 2.387 0.000 9.260
Cd 3.824 0.000 6.684
Cd 3.738 0.000 11.858
Cd 10.822 0.000 0.559
Ag 3.668 0.000 1.502
Ag 2.542 0.000 14.442

! CaRuPt2 (PBE, optimized geometry); values from VASP
! - Fermi-level density of states: 5.066 states/eV/cell
! - Distance to the lowest polymorph of the same formula: 76 meV per atom
! - Space group: P4/mmm, No. 123
! - Calculated formation energy: -18 kJ/mol of atoms
! - Final energy: -6.024 eV/atom
&SYSTEM
  ibrav = 0, nat = 4, ntyp = 3
/
ATOMIC_SPECIES
Ca 40.08 Ca.upf
Ru 101.07 Ru.upf
Pt 195.08 Pt.upf
CELL_PARAMETERS angstrom
2.891 0.000 0.000
0.000 2.891 0.000
0.000 0.000 8.174
ATOMIC_POSITIONS angstrom
Ca 0.000 0.000 0.000
Ru 0.000 0.000 4.087
Pt 1.446 1.446 2.261
Pt 1.446 1.446 5.913